{"formula": "UAlAgO6", "functional": "PBE", "state": "relaxed", "volume_a3_per_fu": 115.1, "final_energy_ev_per_atom": -7.37, "space_group": "P4_2nm", "raw_formation_energy_ev_per_atom": -2.0738, "lattice": [[5.033, 0.000, 0.000], [0.000, 5.033, 0.000], [0.000, 0.000, 9.091]], "species": ["U", "U", "Al", "Al", "Ag", "Ag", "O", "O", "O", "O", "O", "O", "O", "O", "O", "O", "O", "O"], "frac_coords": [[0.000, 0.000, 0.000], [0.500, 0.500, 0.500], [0.000, 0.000, 0.665], [0.500, 0.500, 0.165], [0.000, 0.000, 0.341], [0.500, 0.500, 0.841], [0.170, 0.170, 0.825], [0.183, 0.183, 0.518], [0.200, 0.200, 0.165], [0.300, 0.700, 0.665], [0.317, 0.683, 0.018], [0.330, 0.670, 0.325], [0.670, 0.330, 0.325], [0.683, 0.317, 0.018], [0.700, 0.300, 0.665], [0.800, 0.800, 0.165], [0.817, 0.817, 0.518], [0.830, 0.830, 0.825]]}